[1]
Density functional theory data (PBE-GGA) for a relaxed Cs2RbPuI6 crystal.

Calculated values
Raw total energy ... -80.0 eV/cell
Density ... 4.14 g/cm³

abc: 8.8521 9.5373 15.5986
angles: 90.00 124.35 90.00
With the nearest neighbours (Å) after each atom.
Space group P2_1/c (No. 14)
Unique sites:
1 Cs 0.2199 0.0785 0.2487 x4  6 I 3.89-4.14
2 Rb 0.5000 0.0000 0.0000 x2  6 I 3.63-3.69
3 Pu 0.0000 0.0000 0.5000 x2  6 I 3.11-3.13
4 I 0.1139 0.2215 0.9453 x4  1 Pu 3.13
5 I 0.2319 0.6791 0.9476 x4  1 Pu 3.11
6 I 0.3332 0.0333 0.7287 x4  1 Pu 3.11


[2]
Density functional theory data (PBE-GGA) for a relaxed Cs2PuScI6 crystal.

Calculated values
Raw total energy ... -87.9 eV/cell
Density ... 4.82 g/cm³

abc: 8.6212 12.1921 8.6210
angles: 90.00 90.00 90.00
With the nearest neighbours (Å) after each atom.
Space group Pmmn (No. 59, origin choice 2)
Unique sites:
1 Cs 0.2500 0.9998 0.2502 x4  12 I 4.31-4.32
2 Pu 0.2500 0.2500 0.7494 x2  6 I 3.14
3 Sc 0.2500 0.7500 0.7507 x2  6 I 2.95
4 I 0.0078 0.7500 0.5086 x4  1 Sc 2.95, 1 Pu 3.14
5 I 0.0080 0.7500 0.9928 x4  1 Sc 2.95, 1 Pu 3.14
6 I 0.2500 0.5079 0.7503 x4  1 Sc 2.95, 1 Pu 3.14


[3]
Density functional theory data (PBE-GGA) for a relaxed Cs3PuSn2I9 crystal.

Calculated values
Raw total energy ... -54.3 eV/cell
Density ... 4.43 g/cm³

abc: 8.9422 8.9422 10.9340
angles: 90.00 90.00 120.00
With the nearest neighbours (Å) after each atom.
Space group P-3m1 (No. 164)
Unique sites:
1 Cs 0.0000 0.0000 0.0000 x1  12 I 4.47
2 Cs 0.3333 0.6667 0.6690 x2  12 I 4.45-4.48
3 Pu 0.0000 0.0000 0.5000 x1  6 I 3.15
4 Sn 0.3333 0.6667 0.1618 x2  6 I 3.13-3.21
5 I 0.0000 0.5000 0.0000 x3  2 Sn 3.13
6 I 0.1662 0.3324 0.3346 x6  1 Pu 3.15, 1 Sn 3.21


[4]
Density functional theory data (PBE-GGA) for a relaxed CsPuSnI6 crystal.

Calculated values
Raw total energy ... -37.5 eV/cell
Density ... 4.25 g/cm³

abc: 8.1799 8.1799 8.4836
angles: 90.00 90.00 120.00
With the nearest neighbours (Å) after each atom.
Space group P312 (No. 149)
Unique sites:
1 Cs 0.0000 0.0000 0.0000 x1  6 I 3.91
2 Pu 0.6667 0.3333 0.5000 x1  6 I 3.11
3 Sn 0.3333 0.6667 0.5000 x1  6 I 3.20
4 I 0.3819 0.0080 0.7170 x6  1 Pu 3.11, 1 Sn 3.20


[5]
Density functional theory data (PBE-GGA) for a relaxed CsPu2SnI8 crystal.

Calculated values
Raw total energy ... -57.6 eV/cell
Density ... 4.99 g/cm³

abc: 7.5283 7.9522 9.7628
angles: 90.12 90.15 91.40
With the nearest neighbours (Å) after each atom.
Space group P-1 (No. 2)
Unique sites:
1 Cs 0.0000 0.0000 0.0000 x1  6 I 3.67-3.74
2 Pu 0.4999 0.5000 0.2572 x2  6 I 3.14-3.25
3 Sn 0.0000 0.0000 0.5000 x1  6 I 3.19-3.42
4 I 0.2566 0.6516 0.4999 x2  2 Pu 3.25, 1 Sn 3.42
5 I 0.2683 0.1683 0.2854 x2  1 Pu 3.14, 1 Sn 3.19
6 I 0.2691 0.1675 0.7163 x2  1 Pu 3.14, 1 Sn 3.19
7 I 0.2696 0.6117 0.9997 x2  2 Pu 3.19


[6]
Density functional theory data (PBE-GGA) for a relaxed Cs2SrPuI6 crystal.

Calculated values
Raw total energy ... -82.7 eV/cell
Density ... 4.46 g/cm³

abc: 8.7434 9.1325 15.3731
angles: 90.00 124.51 90.00
With the nearest neighbours (Å) after each atom.
Space group P2_1/c (No. 14)
Unique sites:
1 Cs 0.2278 0.0685 0.2497 x4  8 I 3.91-4.35
2 Sr 0.5000 0.0000 0.0000 x2  6 I 3.28-3.30
3 Pu 0.0000 0.0000 0.5000 x2  6 I 3.22-3.24
4 I 0.1543 0.2043 0.9590 x4  1 Pu 3.24, 1 Sr 3.29
5 I 0.2576 0.6993 0.9585 x4  1 Pu 3.23, 1 Sr 3.30
6 I 0.3281 0.0143 0.7472 x4  1 Pu 3.22, 1 Sr 3.28